Here is a relaxed structure of Nb3InSi from Alexandria. Energies are from PBE.

The structure in POSCAR format:
```
Nb3InSi
1.0
4.705 0.000 0.000
0.000 4.705 0.000
0.000 0.000 4.705
Nb In Si
3 1 1
direct
0.000 0.000 0.500
0.000 0.500 0.000
0.500 0.000 0.000
0.500 0.500 0.500
0.000 0.000 0.000
```

Properties
SG	Pm-3m (221)
distance to the lowest polymorph of the same formula	0	meV per atom
E_form (uncorrected)	0.48	eV/atom
D(E_F)	6.02	states/eV/cell
theoretical density	6.72	g/cm3